Nd4Y3Ho4 | GGA-PBE | relaxed

Lattice parameters (Å, degrees): 18.354 18.354 3.605 95.51 95.51 17.64
Positions (direct):
Nd 0.052 0.052 0.055
Nd 0.323 0.323 0.821
Nd 0.677 0.677 0.179
Nd 0.948 0.948 0.945
Y 0.146 0.146 0.648
Y 0.500 0.500 0.500
Y 0.854 0.854 0.352
Ho 0.235 0.235 0.235
Ho 0.408 0.408 0.404
Ho 0.592 0.592 0.596
Ho 0.765 0.765 0.765

Calculated values
For the calculated density, the calculation gives 6.82 g/cm³. The energy of formation comes out at 0.373 eV per formula unit. For the polymorph energy (0 for the lowest one), the calculation gives 0.000 eV per formula unit.

=====

SrCuNF2 | GGA-PBE | relaxed

Lattice parameters (Å, degrees): 4.263 4.263 3.733 90.00 90.00 90.00
Positions (direct):
Sr 0.000 0.000 0.000
Cu 0.500 0.500 0.500
N 0.500 0.500 0.000
F 0.000 0.500 0.500
F 0.500 0.000 0.500

Calculated values
As for the formation energy without anion corrections: -1.390 eV per atom. For the calculated density, the calculation gives 4.97 g/cm³. For the polymorph energy (0 for the lowest one), the calculation gives 0.000 eV per formula unit.

=====

NaTaTe2 | GGA-PBE | relaxed

Lattice parameters (Å, degrees): 7.866 7.866 7.866 126.97 126.97 78.30
Positions (direct):
Na 0.000 0.000 0.000
Na 0.750 0.250 0.500
Ta 0.250 0.750 0.500
Ta 0.500 0.500 0.000
Te 0.175 0.625 0.050
Te 0.375 0.425 0.550
Te 0.575 0.125 0.950
Te 0.875 0.825 0.450

Calculated values
As for the formation energy without anion corrections: -0.076 eV per atom. For the calculated density, the calculation gives 5.07 g/cm³.

=====

MgH12SeO10 | GGA-PBE | relaxed

Lattice parameters (Å, degrees): 6.292 6.292 25.516 98.29 98.29 71.32
Positions (direct):
Mg 0.000 0.000 0.000
Mg 0.000 0.000 0.500
Mg 0.069 0.931 0.750
Mg 0.931 0.069 0.250
H 0.009 0.652 0.660
H 0.036 0.669 0.418
H 0.074 0.252 0.691
H 0.082 0.494 0.761
H 0.088 0.318 0.949
H 0.090 0.662 0.915
H 0.121 0.200 0.844
H 0.177 0.684 0.297
H 0.200 0.121 0.344
H 0.244 0.304 0.005
H 0.252 0.074 0.191
H 0.282 0.683 0.562
H 0.289 0.548 0.798
H 0.289 0.655 0.445
H 0.304 0.244 0.505
H 0.316 0.823 0.203
H 0.317 0.718 0.938
H 0.318 0.088 0.449
H 0.331 0.964 0.082
H 0.338 0.910 0.585
H 0.345 0.711 0.055
H 0.348 0.991 0.840
H 0.452 0.711 0.702
H 0.494 0.082 0.261
H 0.506 0.918 0.739
H 0.548 0.289 0.298
H 0.652 0.009 0.160
H 0.655 0.289 0.945
H 0.662 0.090 0.415
H 0.669 0.036 0.918
H 0.682 0.912 0.551
H 0.683 0.282 0.062
H 0.684 0.177 0.797
H 0.696 0.756 0.495
H 0.711 0.345 0.555
H 0.711 0.452 0.202
H 0.718 0.317 0.438
H 0.748 0.926 0.809
H 0.756 0.696 0.995
H 0.800 0.879 0.656
H 0.823 0.316 0.703
H 0.879 0.800 0.156
H 0.910 0.338 0.085
H 0.912 0.682 0.051
H 0.918 0.506 0.239
H 0.926 0.748 0.309
H 0.964 0.331 0.582
H 0.991 0.348 0.340
Se 0.307 0.427 0.123
Se 0.427 0.307 0.623
Se 0.573 0.693 0.377
Se 0.693 0.573 0.877
O 0.019 0.746 0.280
O 0.026 0.552 0.116
O 0.070 0.203 0.321
O 0.127 0.708 0.451
O 0.142 0.617 0.778
O 0.146 0.232 0.980
O 0.150 0.776 0.938
O 0.160 0.364 0.637
O 0.203 0.070 0.821
O 0.224 0.850 0.562
O 0.232 0.146 0.480
O 0.254 0.981 0.220
O 0.292 0.873 0.049
O 0.364 0.160 0.137
O 0.383 0.858 0.722
O 0.402 0.423 0.064
O 0.423 0.402 0.564
O 0.432 0.567 0.329
O 0.433 0.568 0.171
O 0.448 0.974 0.384
O 0.552 0.026 0.616
O 0.567 0.432 0.829
O 0.568 0.433 0.671
O 0.577 0.598 0.436
O 0.598 0.577 0.936
O 0.617 0.142 0.278
O 0.636 0.840 0.863
O 0.708 0.127 0.951
O 0.746 0.019 0.780
O 0.768 0.854 0.520
O 0.776 0.150 0.438
O 0.797 0.930 0.179
O 0.840 0.636 0.363
O 0.850 0.224 0.062
O 0.854 0.768 0.020
O 0.858 0.383 0.222
O 0.873 0.292 0.549
O 0.930 0.797 0.679
O 0.974 0.448 0.884
O 0.981 0.254 0.720

Calculated values
The calculation puts the total energy at -5.1133 eV per atom. For the calculated density, the calculation gives 1.94 g/cm³.

=====

Number 1 is which compound?
Nd4Y3Ho4